No. 1
The following is a DFT calculation (GGA-PBEsol) of crystalline Sc4TlOs at its relaxed geometry.

Its space-group type is F-43m. The formation energy is 0.40 eV/atom. As for the total energy: -6.47 eV/atom.

a = 5.4681 Å, b = 5.4681 Å, c = 5.4681 Å
α = 60.00°, β = 60.00°, γ = 60.00°
Element x y z (fractional)
Sc  0.1225  0.1225  0.1225
Sc  0.1225  0.1225  0.6326
Sc  0.1225  0.6326  0.1225
Sc  0.6326  0.1225  0.1225
Tl  0.5000  0.5000  0.5000
Os  0.7500  0.7500  0.7500

***

No. 2
The following is a DFT calculation (GGA-PBEsol) of crystalline Sc2TlOs at its relaxed geometry.

Its space-group type is P4/mmm. The formation energy is -0.46 eV/atom. As for the total energy: -7.47 eV/atom.

a = 3.2486 Å, b = 3.2486 Å, c = 7.2868 Å
α = 90.00°, β = 90.00°, γ = 90.00°
Element x y z (fractional)
Sc  0.0000  0.0000  0.2084
Sc  0.0000  0.0000  0.7916
Tl  0.5000  0.5000  0.5000
Os  0.5000  0.5000  0.0000

***

Repeat the first record exactly.
The following is a DFT calculation (GGA-PBEsol) of crystalline Sc4TlOs at its relaxed geometry.

Its space-group type is F-43m. The formation energy is 0.40 eV/atom. As for the total energy: -6.47 eV/atom.

a = 5.4681 Å, b = 5.4681 Å, c = 5.4681 Å
α = 60.00°, β = 60.00°, γ = 60.00°
Element x y z (fractional)
Sc  0.1225  0.1225  0.1225
Sc  0.1225  0.1225  0.6326
Sc  0.1225  0.6326  0.1225
Sc  0.6326  0.1225  0.1225
Tl  0.5000  0.5000  0.5000
Os  0.7500  0.7500  0.7500

***

Copy entry 2 word for word.
The following is a DFT calculation (GGA-PBEsol) of crystalline Sc2TlOs at its relaxed geometry.

Its space-group type is P4/mmm. The formation energy is -0.46 eV/atom. As for the total energy: -7.47 eV/atom.

a = 3.2486 Å, b = 3.2486 Å, c = 7.2868 Å
α = 90.00°, β = 90.00°, γ = 90.00°
Element x y z (fractional)
Sc  0.0000  0.0000  0.2084
Sc  0.0000  0.0000  0.7916
Tl  0.5000  0.5000  0.5000
Os  0.5000  0.5000  0.0000

***

Repeat the second record exactly.
The following is a DFT calculation (GGA-PBEsol) of crystalline Sc2TlOs at its relaxed geometry.

Its space-group type is P4/mmm. The formation energy is -0.46 eV/atom. As for the total energy: -7.47 eV/atom.

a = 3.2486 Å, b = 3.2486 Å, c = 7.2868 Å
α = 90.00°, β = 90.00°, γ = 90.00°
Element x y z (fractional)
Sc  0.0000  0.0000  0.2084
Sc  0.0000  0.0000  0.7916
Tl  0.5000  0.5000  0.5000
Os  0.5000  0.5000  0.0000

***

Please write out number 1 again, unchanged.
The following is a DFT calculation (GGA-PBEsol) of crystalline Sc4TlOs at its relaxed geometry.

Its space-group type is F-43m. The formation energy is 0.40 eV/atom. As for the total energy: -6.47 eV/atom.

a = 5.4681 Å, b = 5.4681 Å, c = 5.4681 Å
α = 60.00°, β = 60.00°, γ = 60.00°
Element x y z (fractional)
Sc  0.1225  0.1225  0.1225
Sc  0.1225  0.1225  0.6326
Sc  0.1225  0.6326  0.1225
Sc  0.6326  0.1225  0.1225
Tl  0.5000  0.5000  0.5000
Os  0.7500  0.7500  0.7500